Record 1
VASP calculation (PBE) on crystalline SrTlBr2 at its relaxed geometry.

The structure belongs to space group Cm (No. 8); the cell edges are 16.1618, 3.9270 and 4.9175 Å and the angles 90.00°, 107.70° and 90.00°. The distinct sites, in fractional coordinates, are Sr at (0.0000, 0.0000, 0.0000), Tl at (0.2787, 0.0000, 0.7804), Br at (0.1489, 0.5000, 0.1509) and Br at (0.4452, 0.0000, 0.4459).

The energy relative to the elements, uncorrected is -478 kJ/mol of formula units. The total energy comes out at -3.0878 eV/atom.

***

Record 2
VASP calculation (PBE) on crystalline Ta2BeFeB at its relaxed geometry.

The structure belongs to space group P4/mmm (No. 123); the cell edges are 4.5632, 4.5632 and 3.6689 Å and the angles 90.00°, 90.00° and 90.00°. The distinct sites, in fractional coordinates, are Ta at (0.0000, 0.5000, 0.0000), Be at (0.0000, 0.0000, 0.5000), Fe at (0.5000, 0.5000, 0.0000) and B at (0.5000, 0.5000, 0.5000).

The calculation puts the energy of formation at 933 meV/atom. The total energy comes out at -7.5811 eV/atom.

***

Record 3
VASP calculation (PBE) on crystalline Ca2PIr at its relaxed geometry.

The structure belongs to space group P2_1/m (No. 11); the cell edges are 5.2610, 4.3839 and 8.2670 Å and the angles 90.00°, 99.33° and 90.00°. The distinct sites, in fractional coordinates, are Ca at (0.2081, 0.2500, 0.4163), Ca at (0.2642, 0.7500, 0.0678), P at (0.3170, 0.7500, 0.7296) and Ir at (0.1991, 0.2500, 0.7651).

The calculation puts the energy of formation at -782 meV/atom. The total energy comes out at -5.3509 eV/atom.

***

Record 4
VASP calculation (PBE) on crystalline CaReRh2 at its relaxed geometry.

The structure belongs to space group Pmm2 (No. 25); the cell edges are 2.7766, 4.1086 and 6.1517 Å and the angles 90.00°, 90.00° and 90.00°. The distinct sites, in fractional coordinates, are Ca at (0.0000, 0.0000, 0.0000), Re at (0.5000, 0.5000, 0.3434), Rh at (0.0000, 0.0000, 0.4945) and Rh at (0.5000, 0.5000, 0.7474).

The calculation puts the energy of formation at 209 meV/atom. The total energy comes out at -7.0791 eV/atom.

***

Record 5
VASP calculation (PBE) on crystalline Pr12SmAl4N3 at its relaxed geometry.

The structure belongs to space group Im-3m (No. 229); the cell edges are 10.2724, 10.2724 and 10.2724 Å and the angles 90.00°, 90.00° and 90.00°. The distinct sites, in fractional coordinates, are Pr at (0.0000, 0.0000, 0.2735), Pr at (0.0000, 0.2500, 0.5000), Sm at (0.0000, 0.0000, 0.0000), Al at (0.2500, 0.2500, 0.2500) and N at (0.0000, 0.0000, 0.5000).

The energy relative to the elements, uncorrected is -595 kJ/mol of formula units. The total energy comes out at -5.4092 eV/atom.

***

Record 6
VASP calculation (PBE) on crystalline LiDyZrTc at its relaxed geometry.

The structure belongs to space group F-43m (No. 216); the cell edges are 6.7776, 6.7776 and 6.7776 Å and the angles 90.00°, 90.00° and 90.00°. The distinct sites, in fractional coordinates, are Li at (0.0000, 0.0000, 0.0000), Dy at (0.2500, 0.2500, 0.2500), Zr at (0.2500, 0.2500, 0.7500) and Tc at (0.0000, 0.0000, 0.5000).

The calculation puts the energy of formation at -95 meV/atom. The total energy comes out at -6.4523 eV/atom.

***

Record 7
VASP calculation (PBE) on crystalline FeCo2Se at its relaxed geometry.

The structure belongs to space group I-42d (No. 122); the cell edges are 5.1272, 5.1272 and 10.0392 Å and the angles 90.00°, 90.00° and 90.00°. The distinct sites, in fractional coordinates, are Fe at (0.0000, 0.0000, 0.0000), Co at (0.2286, 0.2500, 0.1250) and Se at (0.0000, 0.0000, 0.5000).

The energy relative to the elements, uncorrected is 285 kJ/mol of formula units. The total energy comes out at -5.8026 eV/atom.

***

Record 8
VASP calculation (PBE) on crystalline Ca2TbHg3 at its relaxed geometry.

The structure belongs to space group Cmmm (No. 65); the cell edges are 5.3115, 15.8576 and 7.6163 Å and the angles 90.00°, 90.00° and 90.00°. The distinct sites, in fractional coordinates, are Ca at (0.0000, 0.0000, 0.0000), Ca at (0.0000, 0.0000, 0.5000), Ca at (0.0000, 0.3339, 0.0000), Tb at (0.0000, 0.3339, 0.5000), Hg at (0.0000, 0.1684, 0.2587) and Hg at (0.0000, 0.5000, 0.2579).

The calculation puts the energy of formation at -539 meV/atom. The total energy comes out at -2.1287 eV/atom.

***

Record 9
VASP calculation (PBE) on crystalline TbMoN2 at its relaxed geometry.

The structure belongs to space group R-3m (No. 166, hexagonal axes); the cell edges are 3.2474, 3.2474 and 15.9081 Å and the angles 90.00°, 90.00° and 120.00°. The distinct sites, in fractional coordinates, are Tb at (0.0000, 0.0000, 0.0000), Mo at (0.0000, 0.0000, 0.5000) and N at (0.0000, 0.0000, 0.2415).

The energy relative to the elements, uncorrected is -351 kJ/mol of formula units. The total energy comes out at -8.9382 eV/atom.

***

Record 10
VASP calculation (PBE) on crystalline MnSi3Pb at its relaxed geometry.

The structure belongs to space group Pm-3m (No. 221); the cell edges are 4.5687, 4.5687 and 4.5687 Å and the angles 90.00°, 90.00° and 90.00°. The distinct sites, in fractional coordinates, are Mn at (0.0000, 0.0000, 0.0000), Si at (0.0000, 0.0000, 0.5000) and Pb at (0.5000, 0.5000, 0.5000).

The energy relative to the elements, uncorrected is 188 kJ/mol of formula units. The total energy comes out at -5.4391 eV/atom.

***

Record 11
VASP calculation (PBE) on crystalline ZrGeF2 at its relaxed geometry.

The structure belongs to space group I-42d (No. 122); the cell edges are 4.0117, 4.0117 and 15.4163 Å and the angles 90.00°, 90.00° and 90.00°. The distinct sites, in fractional coordinates, are Zr at (0.0000, 0.0000, 0.0000), Ge at (0.0000, 0.0000, 0.5000) and F at (0.1682, 0.2500, 0.1250).

The energy relative to the elements, uncorrected is -712 kJ/mol of formula units. The total energy comes out at -6.0708 eV/atom.

***

Record 12
VASP calculation (PBE) on crystalline CaErCdAu at its relaxed geometry.

The structure belongs to space group F-43m (No. 216); the cell edges are 7.3259, 7.3259 and 7.3259 Å and the angles 90.00°, 90.00° and 90.00°. The distinct sites, in fractional coordinates, are Ca at (0.0000, 0.0000, 0.0000), Er at (0.0000, 0.0000, 0.5000), Cd at (0.2500, 0.2500, 0.2500) and Au at (0.2500, 0.2500, 0.7500).

The calculation puts the energy of formation at -545 meV/atom. The total energy comes out at -3.2346 eV/atom.

***

Record 13
VASP calculation (PBE) on crystalline La9In2Ga at its relaxed geometry.

The structure belongs to space group P4/mmm (No. 123); the cell edges are 5.0278, 5.0278 and 15.0565 Å and the angles 90.00°, 90.00° and 90.00°. The distinct sites, in fractional coordinates, are La at (0.0000, 0.0000, 0.0000), La at (0.0000, 0.0000, 0.3293), La at (0.0000, 0.5000, 0.1602), La at (0.0000, 0.5000, 0.5000), In at (0.5000, 0.5000, 0.3307) and Ga at (0.5000, 0.5000, 0.0000).

The calculation puts the energy of formation at -289 meV/atom. The total energy comes out at -4.6934 eV/atom.

***

| no. | calculated volume (Å³ per cell) |
| --- | --- |
| 1 | 297.3 |
| 2 | 76.4 |
| 3 | 188.1 |
| 4 | 70.2 |
| 5 | 1084.0 |
| 6 | 311.3 |
| 7 | 263.9 |
| 8 | 641.5 |
| 9 | 145.3 |
| 10 | 95.4 |
| 11 | 248.1 |
| 12 | 393.2 |
| 13 | 380.6 |